1.
VASP calculation (PBE) on TeAs2Pt after structural relaxation.

For the formation energy from raw total energies, the calculation gives -0.030 eV per atom. For the calculated total energy, the calculation gives -4.650 eV/atom. The density comes out at 7.63 g cm⁻³. As for the crystal system: triclinic.

The space group is P1 (No. 1) and the conventional cell measures 3.832, 4.986 and 6.375 Å, with angles of 97.85, 107.42 and 112.55 degrees. Symmetry generates all atoms from Te at (0.000, 0.000, 0.000), As at (0.043, 0.740, 0.349), As at (0.433, 0.247, 0.623) and Pt at (0.764, 0.199, 0.330).



2.
VASP calculation (PBE) on Li2Np3TaN6 after structural relaxation.

For the formation energy from raw total energies, the calculation gives -0.981 eV per atom. For the calculated total energy, the calculation gives -9.686 eV/atom. The density comes out at 10.68 g cm⁻³. As for the crystal system: monoclinic.

The space group is C2/m (No. 12) and the conventional cell measures 5.831, 10.094 and 5.543 Å, with angles of 90.00, 109.36 and 90.00 degrees. Symmetry generates all atoms from Li at (0.000, 0.165, 0.000), Np at (0.000, 0.000, 0.500), Np at (0.000, 0.326, 0.500), Ta at (0.000, 0.500, 0.000), N at (0.211, 0.500, 0.738) and N at (0.234, 0.352, 0.246).



3.
VASP calculation (PBE) on As2Pd5Pt after structural relaxation.

For the calculated total energy, the calculation gives -5.382 eV/atom. As for the formation energy: -1.75 eV/f.u. The density comes out at 11.40 g cm⁻³. As for the crystal system: orthorhombic.

The space group is Immm (No. 71) and the conventional cell measures 2.979, 7.653 and 11.207 Å, with angles of 90.00, 90.00 and 90.00 degrees. Symmetry generates all atoms from As at (0.000, 0.000, 0.221), Pd at (0.000, 0.000, 0.000), Pd at (0.000, 0.244, 0.366) and Pt at (0.000, 0.500, 0.000).